A plane-wave DFT calculation with PBE-GGA was carried out for crystalline BeAlWBr2 at its relaxed geometry.

Cell: 5.001 5.488 5.001 Å, 90.00 90.00 90.00°
Positions (direct):
Br1 0.500 0.000 0.000
Br2 0.000 0.000 0.500
W1 0.000 0.500 0.000
Be1 0.500 0.500 0.500
Al1 0.000 0.000 0.000

Properties
The calculation puts the mass density at 4.59 Mg/m³. The value obtained for the formation energy (no corrections) is 1.46 eV/atom.

=====

A plane-wave DFT calculation with PBE-GGA was carried out for crystalline ZrBeAlBr2 at its relaxed geometry.

Cell: 5.425 4.397 5.425 Å, 90.00 90.00 90.00°
Positions (direct):
Br1 0.500 0.000 0.000
Br2 0.000 0.000 0.500
Be1 0.000 0.500 0.000
Zr1 0.500 0.500 0.500
Al1 0.000 0.000 0.000

Properties
The calculation puts the mass density at 3.68 Mg/m³. The value obtained for the formation energy (no corrections) is 0.62 eV/atom.

=====

A plane-wave DFT calculation with PBE-GGA was carried out for crystalline Be3AlC at its relaxed geometry.

Cell: 3.487 3.011 8.897 Å, 90.00 105.52 90.00°
Positions (direct):
Al1 0.877 0.000 0.170
Al2 0.877 0.500 0.670
Be1 0.355 0.500 0.100
Be2 0.278 0.000 0.904
Be3 0.278 0.500 0.404
Be4 0.759 0.500 0.923
Be5 0.759 0.000 0.423
Be6 0.355 0.000 0.600
C1 0.697 0.500 0.303
C2 0.697 0.000 0.803

Properties
The calculation puts the mass density at 2.44 Mg/m³. The energy of formation from the pure elements comes out at 0.182 eV/atom.

=====

A plane-wave DFT calculation with PBE-GGA was carried out for crystalline BeAlC3 at its relaxed geometry.

Cell: 3.872 3.872 3.872 Å, 90.00 90.00 90.00°
Positions (direct):
Be1 0.500 0.500 0.500
Al1 0.000 0.000 0.000
C1 0.000 0.500 0.000
C2 0.000 0.000 0.500
C3 0.500 0.000 0.000

Properties
The calculation puts the mass density at 2.06 Mg/m³. The energy of formation from the pure elements comes out at 2.551 eV/atom.